Entry from Alexandria via LeMat-Bulk: a geometry-optimized Ca3Pa2TiN6 structure (PBE-GGA).

a = 5.9371 Å, b = 5.9371 Å, c = 5.9736 Å
α = 99.43°, β = 99.43°, γ = 120.03°
Positions (direct):
Ca 0.0000 0.0000 0.0000
Ca 0.3389 0.6611 0.0000
Ca 0.6611 0.3389 0.0000
Pa 0.1670 0.8330 0.5000
Pa 0.8330 0.1670 0.5000
Ti 0.5000 0.5000 0.5000
N 0.1039 0.4293 0.2875
N 0.2449 0.2449 0.7132
N 0.4293 0.1039 0.2875
N 0.5707 0.8961 0.7125
N 0.7551 0.7551 0.2868
N 0.8961 0.5707 0.7125

Summary:
E_tot = -8.321 eV per atom
SG = C2/m, No. 12
M_tot = 0.01 Bohr magnetons per cell